# 1
The following is a DFT calculation (PBE) of ErGaSn2 after structural relaxation.

Its total magnetization is 0.00 μB per formula unit. As for the relative energy among the computed polymorphs: 0.0327 eV per atom. Its formation energy is -0.3955 eV per atom. For the total energy, the calculation gives -4.29 eV/atom.

The space group is P4/nmm (No. 129, origin choice 2) and the conventional cell measures 4.4541, 4.4541 and 9.5421 Å, with angles of 90.00, 90.00 and 90.00 degrees. The asymmetric unit holds Er at (0.2500, 0.2500, 0.2466), Ga at (0.2500, 0.7500, 0.0000), Sn at (0.2500, 0.2500, 0.7908) and Sn at (0.2500, 0.7500, 0.5000).

# 2
The following is a DFT calculation (PBE) of ErGa2Sn after structural relaxation.

Its total magnetization is 0.00 μB per formula unit. As for the relative energy among the computed polymorphs: 0.2488 eV per atom. Its formation energy is -0.2160 eV per atom. For the total energy, the calculation gives -3.87 eV/atom.

The space group is R-3m (No. 166, hexagonal axes) and the conventional cell measures 4.8317, 4.8317 and 13.5965 Å, with angles of 90.00, 90.00 and 120.00 degrees. The asymmetric unit holds Er at (0.0000, 0.0000, 0.0000), Ga at (0.0000, 0.0000, 0.2386) and Sn at (0.0000, 0.0000, 0.5000).

# 3
The following is a DFT calculation (PBE) of ErGaSn2 after structural relaxation.

Its total magnetization is 0.00 μB per formula unit. As for the relative energy among the computed polymorphs: 0.2654 eV per atom. Its formation energy is -0.1627 eV per atom. For the total energy, the calculation gives -4.06 eV/atom.

The space group is R3m (No. 160, hexagonal axes) and the conventional cell measures 4.4660, 4.4660 and 19.0016 Å, with angles of 90.00, 90.00 and 120.00 degrees. The asymmetric unit holds Er at (0.0000, 0.0000, 0.0000), Ga at (0.0000, 0.0000, 0.8303), Sn at (0.0000, 0.0000, 0.4225) and Sn at (0.0000, 0.0000, 0.5776).

# 4
The following is a DFT calculation (PBE) of Er2Ga2Sn7 after structural relaxation.

Its total magnetization is 0.00 μB per formula unit. Its formation energy is -0.1625 eV per atom. For the total energy, the calculation gives -4.09 eV/atom.

The space group is C2/m (No. 12) and the conventional cell measures 11.1343, 9.7876 and 5.6981 Å, with angles of 90.00, 108.82 and 90.00 degrees. The asymmetric unit holds Er at (0.0000, 0.1909, 0.0000), Ga at (0.2215, 0.0000, 0.2514), Sn at (0.0000, 0.0000, 0.5000), Sn at (0.0659, 0.5000, 0.2862) and Sn at (0.2195, 0.1998, 0.7291).

# 5
The following is a DFT calculation (PBE) of Er2GaSn3 after structural relaxation.

Its total magnetization is 0.00 μB per formula unit. Its formation energy is -0.2078 eV per atom. For the total energy, the calculation gives -4.23 eV/atom.

The space group is Cmcm (No. 63) and the conventional cell measures 12.7420, 8.9900 and 5.8605 Å, with angles of 90.00, 90.00 and 90.00 degrees. The asymmetric unit holds Er at (0.1442, 0.1955, 0.2500), Ga at (0.0000, 0.3894, 0.7500), Sn at (0.0000, 0.0858, 0.7500) and Sn at (0.1851, 0.5000, 0.0000).

# 6
The following is a DFT calculation (PBE) of ErGa4Sn after structural relaxation.

Its total magnetization is 0.00 μB per formula unit. Its formation energy is -0.2291 eV per atom. For the total energy, the calculation gives -3.67 eV/atom.

The space group is F-43m (No. 216) and the conventional cell measures 7.8704, 7.8704 and 7.8704 Å, with angles of 90.00, 90.00 and 90.00 degrees. The asymmetric unit holds Er at (0.0000, 0.0000, 0.0000), Ga at (0.1251, 0.1251, 0.6251) and Sn at (0.2500, 0.2500, 0.2500).

# 7
The following is a DFT calculation (PBE) of Er3GaSn3 after structural relaxation.

Its total magnetization is 0.00 μB per formula unit. Its formation energy is -0.3817 eV per atom. For the total energy, the calculation gives -4.49 eV/atom.

The space group is P6_3/m (No. 176) and the conventional cell measures 8.5975, 8.5975 and 5.5842 Å, with angles of 90.00, 90.00 and 120.00 degrees. The asymmetric unit holds Er at (0.0908, 0.4505, 0.2500), Ga at (0.3333, 0.6667, 0.7500) and Sn at (0.0563, 0.2594, 0.7500).

# 8
The following is a DFT calculation (PBE) of Er4Ga2Sn after structural relaxation.

Its total magnetization is 0.00 μB per formula unit. Its formation energy is -0.3566 eV per atom. For the total energy, the calculation gives -4.40 eV/atom.

The space group is Fddd (No. 70, origin choice 2) and the conventional cell measures 9.1707, 13.0952 and 13.2294 Å, with angles of 90.00, 90.00 and 90.00 degrees. The asymmetric unit holds Er at (0.0598, 0.2836, 0.4643), Ga at (0.0000, 0.0000, 0.0000) and Sn at (0.1250, 0.1250, 0.6250).

# 9
The following is a DFT calculation (PBE) of ErGa2Sn2 after structural relaxation.

Its total magnetization is 0.00 μB per formula unit. As for the relative energy among the computed polymorphs: 0.0070 eV per atom. Its formation energy is -0.2922 eV per atom. For the total energy, the calculation gives -4.02 eV/atom.

The space group is C2/m (No. 12) and the conventional cell measures 10.4828, 4.3739 and 6.8744 Å, with angles of 90.00, 129.81 and 90.00 degrees. The asymmetric unit holds Er at (0.0000, 0.0000, 0.0000), Ga at (0.2190, 0.5000, 0.0608) and Sn at (0.1303, 0.5000, 0.4458).

# 10
The following is a DFT calculation (PBE) of Tb2Er2Ga4Sn after structural relaxation.

Its total magnetization is 0.00 μB per formula unit. Its formation energy is -0.1556 eV per atom. For the total energy, the calculation gives -3.99 eV/atom.

The space group is I4/mmm (No. 139) and the conventional cell measures 7.0684, 7.0684 and 9.2600 Å, with angles of 90.00, 90.00 and 90.00 degrees. The asymmetric unit holds Tb at (0.0000, 0.0000, 0.1906), Er at (0.0000, 0.5000, 0.2500), Ga at (0.2346, 0.2346, 0.0000) and Sn at (0.0000, 0.0000, 0.5000).

# 11
The following is a DFT calculation (PBE) of TbErGaSn after structural relaxation.

Its total magnetization is 0.00 μB per formula unit. As for the relative energy among the computed polymorphs: 0.1551 eV per atom. Its formation energy is -0.5380 eV per atom. For the total energy, the calculation gives -4.59 eV/atom.

The space group is F-43m (No. 216) and the conventional cell measures 7.3635, 7.3635 and 7.3635 Å, with angles of 90.00, 90.00 and 90.00 degrees. The asymmetric unit holds Tb at (0.0000, 0.0000, 0.0000), Er at (0.0000, 0.0000, 0.5000), Ga at (0.2500, 0.2500, 0.7500) and Sn at (0.2500, 0.2500, 0.2500).

# 12
The following is a DFT calculation (PBE) of TbErGaSn after structural relaxation.

Its total magnetization is 0.00 μB per formula unit. As for the relative energy among the computed polymorphs: 0.0000 eV per atom. Its formation energy is -0.6931 eV per atom. For the total energy, the calculation gives -4.75 eV/atom.

The space group is Amm2 (No. 38) and the conventional cell measures 4.1509, 4.4507 and 11.1167 Å, with angles of 90.00, 90.00 and 90.00 degrees. The asymmetric unit holds Tb at (0.0000, 0.0000, 0.0000), Er at (0.5000, 0.0000, 0.2783), Ga at (0.5000, 0.0000, 0.5482) and Sn at (0.0000, 0.0000, 0.7168).

# 13
The following is a DFT calculation (PBE) of YErGaSn after structural relaxation.

Its total magnetization is 0.00 μB per formula unit. As for the relative energy among the computed polymorphs: 0.0000 eV per atom. Its formation energy is -0.7076 eV per atom. For the total energy, the calculation gives -5.22 eV/atom.

The space group is Amm2 (No. 38) and the conventional cell measures 4.1484, 4.4434 and 11.0982 Å, with angles of 90.00, 90.00 and 90.00 degrees. The asymmetric unit holds Y at (0.0000, 0.0000, 0.0000), Er at (0.5000, 0.0000, 0.2784), Ga at (0.5000, 0.0000, 0.5476) and Sn at (0.0000, 0.0000, 0.7168).

# 14
The following is a DFT calculation (PBE) of YErGaSn after structural relaxation.

Its total magnetization is 0.00 μB per formula unit. As for the relative energy among the computed polymorphs: 0.1646 eV per atom. Its formation energy is -0.5430 eV per atom. For the total energy, the calculation gives -5.06 eV/atom.

The space group is F-43m (No. 216) and the conventional cell measures 7.3573, 7.3573 and 7.3573 Å, with angles of 90.00, 90.00 and 90.00 degrees. The asymmetric unit holds Y at (0.0000, 0.0000, 0.0000), Er at (0.0000, 0.0000, 0.5000), Ga at (0.2500, 0.2500, 0.7500) and Sn at (0.2500, 0.2500, 0.2500).

# 15
The following is a DFT calculation (PBE) of ErZnGaSn after structural relaxation.

Its total magnetization is 0.00 μB per formula unit. Its formation energy is -0.4368 eV per atom. For the total energy, the calculation gives -3.65 eV/atom.

The space group is Pmmm (No. 47) and the conventional cell measures 4.3164, 4.3329 and 4.4789 Å, with angles of 90.00, 90.00 and 90.00 degrees. The asymmetric unit holds Er at (0.0000, 0.0000, 0.0000), Zn at (0.0000, 0.5000, 0.5000), Ga at (0.5000, 0.5000, 0.0000) and Sn at (0.5000, 0.0000, 0.5000).

# 16
The following is a DFT calculation (PBE) of SrEr2Ga after structural relaxation.

Its total magnetization is 0.00 μB per formula unit. As for the relative energy among the computed polymorphs: 0.0000 eV per atom. Its formation energy is -0.1797 eV per atom. For the total energy, the calculation gives -3.64 eV/atom.

The space group is P4/mmm (No. 123) and the conventional cell measures 3.6120, 3.6120 and 9.5285 Å, with angles of 90.00, 90.00 and 90.00 degrees. The asymmetric unit holds Sr at (0.0000, 0.0000, 0.0000), Er at (0.5000, 0.5000, 0.3207) and Ga at (0.0000, 0.0000, 0.5000).

# 17
The following is a DFT calculation (PBE) of SrErGa2 after structural relaxation.

Its total magnetization is 0.00 μB per formula unit. Its formation energy is -0.2386 eV per atom. For the total energy, the calculation gives -3.31 eV/atom.

The space group is R-3m (No. 166, hexagonal axes) and the conventional cell measures 3.7685, 3.7685 and 27.3878 Å, with angles of 90.00, 90.00 and 120.00 degrees. The asymmetric unit holds Sr at (0.0000, 0.0000, 0.0000), Er at (0.0000, 0.0000, 0.5000) and Ga at (0.0000, 0.0000, 0.2441).

# 18
The following is a DFT calculation (PBE) of SrErGa after structural relaxation.

Its total magnetization is 0.00 μB per formula unit. Its formation energy is -0.2527 eV per atom. For the total energy, the calculation gives -3.34 eV/atom.

The space group is I4mm (No. 107) and the conventional cell measures 3.7225, 3.7225 and 13.3699 Å, with angles of 90.00, 90.00 and 90.00 degrees. The asymmetric unit holds Sr at (0.0000, 0.0000, 0.0000), Er at (0.0000, 0.0000, 0.2703) and Ga at (0.0000, 0.0000, 0.6633).

# 19
The following is a DFT calculation (PBE) of SrEr2Ga after structural relaxation.

Its total magnetization is 0.00 μB per formula unit. As for the relative energy among the computed polymorphs: 0.1959 eV per atom. Its formation energy is 0.0162 eV per atom. For the total energy, the calculation gives -3.44 eV/atom.

The space group is R-3m (No. 166, hexagonal axes) and the conventional cell measures 3.6530, 3.6530 and 33.7505 Å, with angles of 90.00, 90.00 and 120.00 degrees. The asymmetric unit holds Sr at (0.0000, 0.0000, 0.0000), Er at (0.0000, 0.0000, 0.1057) and Ga at (0.0000, 0.0000, 0.5000).

# 20
The following is a DFT calculation (PBE) of SrErGa3 after structural relaxation.

Its total magnetization is 0.00 μB per formula unit. Its formation energy is -0.5047 eV per atom. For the total energy, the calculation gives -3.57 eV/atom.

The space group is Cmcm (No. 63) and the conventional cell measures 4.4995, 26.0571 and 4.2277 Å, with angles of 90.00, 90.00 and 90.00 degrees. The asymmetric unit holds Sr at (0.0000, 0.0756, 0.2500), Er at (0.0000, 0.2044, 0.7500), Ga at (0.0000, 0.3189, 0.7500), Ga at (0.0000, 0.3762, 0.2500) and Ga at (0.0000, 0.4743, 0.2500).

# 21
The following is a DFT calculation (PBE) of SrErGa2 after structural relaxation.

Its total magnetization is 0.00 μB per formula unit. Its formation energy is -0.4714 eV per atom. For the total energy, the calculation gives -3.55 eV/atom.

The space group is P4/mmm (No. 123) and the conventional cell measures 3.7059, 3.7059 and 7.4410 Å, with angles of 90.00, 90.00 and 90.00 degrees. The asymmetric unit holds Sr at (0.0000, 0.0000, 0.0000), Er at (0.0000, 0.0000, 0.5000) and Ga at (0.5000, 0.5000, 0.2867).

# 22
The following is a DFT calculation (PBE) of SrErZn2Ga2 after structural relaxation.

Its total magnetization is 0.00 μB per formula unit. Its formation energy is -0.4904 eV per atom. For the total energy, the calculation gives -2.96 eV/atom.

The space group is P-3m1 (No. 164) and the conventional cell measures 4.5015, 4.5015 and 7.6855 Å, with angles of 90.00, 90.00 and 120.00 degrees. The asymmetric unit holds Sr at (0.0000, 0.0000, 0.0000), Er at (0.0000, 0.0000, 0.5000), Zn at (0.3333, 0.6667, 0.6999) and Ga at (0.3333, 0.6667, 0.2957).

# 23
The following is a DFT calculation (PBE) of ErTaGa after structural relaxation.

Its total magnetization is 0.00 μB per formula unit. Its formation energy is -0.3621 eV per atom. For the total energy, the calculation gives -6.84 eV/atom.

The space group is P4/nmm (No. 129, origin choice 2) and the conventional cell measures 4.0411, 4.0411 and 7.8967 Å, with angles of 90.00, 90.00 and 90.00 degrees. The asymmetric unit holds Er at (0.2500, 0.2500, 0.1600), Ta at (0.2500, 0.7500, 0.5000) and Ga at (0.2500, 0.2500, 0.7519).

# 24
The following is a DFT calculation (PBE) of Tb3ErGa4 after structural relaxation.

Its total magnetization is 0.00 μB per formula unit. As for the relative energy among the computed polymorphs: 0.1184 eV per atom. Its formation energy is -0.4628 eV per atom. For the total energy, the calculation gives -4.28 eV/atom.

The space group is Immm (No. 71) and the conventional cell measures 3.6102, 6.7212 and 16.6058 Å, with angles of 90.00, 90.00 and 90.00 degrees. The asymmetric unit holds Tb at (0.0000, 0.0000, 0.0000), Tb at (0.0000, 0.5000, 0.2025), Er at (0.0000, 0.0000, 0.5000) and Ga at (0.0000, 0.3064, 0.3712).

# 25
The following is a DFT calculation (PBE) of Tb2Er3Ga2 after structural relaxation.

Its total magnetization is 0.00 μB per formula unit. Its formation energy is -0.3271 eV per atom. For the total energy, the calculation gives -4.47 eV/atom.

The space group is C2/m (No. 12) and the conventional cell measures 12.8416, 3.7324 and 8.7776 Å, with angles of 90.00, 114.53 and 90.00 degrees. The asymmetric unit holds Tb at (0.1447, 0.0000, 0.3083), Er at (0.0000, 0.5000, 0.5000), Er at (0.1133, 0.5000, 0.9404) and Ga at (0.1808, 0.0000, 0.7197).

# 26
The following is a DFT calculation (PBE) of TbErGa after structural relaxation.

Its total magnetization is 0.37 μB per formula unit. As for the relative energy among the computed polymorphs: 0.2692 eV per atom. Its formation energy is -0.1337 eV per atom. For the total energy, the calculation gives -4.21 eV/atom.

The space group is P-3m1 (No. 164) and the conventional cell measures 3.5745, 3.5745 and 14.7644 Å, with angles of 90.00, 90.00 and 120.00 degrees. The asymmetric unit holds Tb at (0.3333, 0.6667, 0.4022), Er at (0.3333, 0.6667, 0.7934) and Ga at (0.3333, 0.6667, 0.0575).